Density functional theory data (PBE-GGA) for a relaxed MgTeP crystal.

Cell lengths 3.2577, 3.2577, 7.9797 Å; angles 90.00, 90.00, 120.00 degrees
With the nearest neighbours (Å) after each atom.
Sites, in units of the cell vectors:
Mg 0.0000 0.0000 0.0000  3 P 2.65
Te 0.6667 0.3333 0.6998  3 Mg 3.05, 6 Te 3.26
P 0.3333 0.6667 0.2334  3 Mg 2.65

Calculated values
The density of states at the Fermi level is 0.5035 states/eV/atom. Its space group is P3m1, No. 156. The calculation puts the formation energy (no corrections) at 0.11 eV per atom.